Cd2SbCBr, optimized geometry, DFT GGA-PBEsol; SG = No. 123; V = 105 Å³/cell; uncorrected formation energy = 0.824 eV/atom
1.0
-3.827 2.108 0.796
-2.126 -3.898 0.103
0.899 -0.352 5.251
Sb C Br Cd
1 1 1 2
Cartesian
-2.527 -1.071 3.075
0.000 0.000 0.000
0.449 -0.176 2.625
-1.063 -1.949 0.051
-1.914 1.054 0.398


InCBr2Cl, optimized geometry, DFT GGA-PBEsol; SG = No. 123; V = 137 Å³/cell; uncorrected formation energy = 1.023 eV/atom
1.0
-0.054 2.518 -2.228
-5.897 -1.684 -1.760
-2.434 3.878 4.443
C Cl Br In
1 1 2 1
Cartesian
-0.027 1.259 -1.114
0.000 0.000 0.000
-1.217 1.939 2.222
-2.948 -0.842 -0.880
-4.192 2.356 0.228


CoCBr2, optimized geometry, DFT GGA-PBEsol; SG = No. 166; V = 72 Å³/cell; uncorrected formation energy = 1.673 eV/atom
1.0
3.357 0.000 0.000
1.679 2.908 0.000
1.679 0.969 7.376
C Co Br
1 1 2
Cartesian
3.357 1.938 3.688
0.000 0.000 0.000
5.036 2.908 2.214
1.679 0.969 5.162


Li2CoCBr, optimized geometry, DFT GGA-PBEsol; SG = No. 123; V = 97 Å³/cell; uncorrected formation energy = 1.384 eV/atom
1.0
-2.225 2.058 2.885
3.249 -1.176 3.345
2.456 4.019 -0.973
C Co Br Li
1 1 1 2
Cartesian
1.740 2.450 2.628
0.000 0.000 0.000
-1.112 1.029 1.442
1.228 2.009 -0.487
1.625 -0.588 1.672


CoMo2CBr, optimized geometry, DFT GGA-PBEsol; SG = No. 123; V = 80 Å³/cell; uncorrected formation energy = 2.651 eV/atom
1.0
3.725 0.000 0.000
0.000 4.639 0.000
0.000 0.000 4.639
Mo Co C Br
2 1 1 1
Cartesian
0.000 0.000 2.320
0.000 2.320 0.000
1.863 2.320 2.320
1.863 0.000 0.000
0.000 0.000 0.000


CoCSe2Br, optimized geometry, DFT GGA-PBEsol; SG = No. 123; V = 98 Å³/cell; uncorrected formation energy = 1.591 eV/atom
1.0
-1.964 -3.650 1.733
2.437 0.467 3.745
-3.490 2.791 1.923
C Co Se Br
1 1 2 1
Cartesian
-1.509 -0.196 3.701
0.000 0.000 0.000
1.218 0.233 1.873
-0.982 -1.825 0.866
-1.745 1.395 0.961